Ba2ScRe (GGA-PBE, relaxed); energy of formation from the pure elements = 0.55 eV/atom; electronic total energy = -5.10 eV/atom
1.0
9.581 -1.695 0.000
9.581 1.695 0.000
-1.043 0.000 4.362
Ba Sc Re
2 1 1
direct
0.150 0.150 0.148
0.850 0.850 0.852
0.000 0.000 0.500
0.500 0.500 0.000

BaSc2Re (GGA-PBE, relaxed); energy of formation from the pure elements = 0.65 eV/atom; electronic total energy = -6.11 eV/atom
1.0
1.854 -2.584 0.000
1.854 2.584 0.000
0.000 0.000 10.622
Ba Sc Re
1 2 1
direct
0.000 0.000 0.000
0.000 0.000 0.416
0.500 0.500 0.670
0.500 0.500 0.237

Question: Look up the electronic total energy of the second one.
Answer: -6.11 eV/atom

Question: electronic total energy of number 2 (BaSc2Re)?
Answer: -6.11 eV/atom

Question: Number 2 is which compound?
Answer: BaSc2Re